(1)
Here is an optimized crystal structure of SrAuSeN2 from Alexandria. Energies are from GGA-PBE.

Computed properties:
symmetry: P4/mmm
formation energy without anion corrections: 7.74 eV per formula unit
energy above the lowest structure with this stoichiometry: 811 meV per atom
ρ: 4.60 g/cm3

```
SrAuSeN2
1.0
-2.214 3.170 -2.754
-3.916 -0.436 2.647
2.001 4.633 3.723
Se N Au Sr
1 2 1 1
direct
0.000 0.000 0.500
0.500 0.000 0.000
0.000 0.500 0.000
0.500 0.500 0.500
0.000 0.000 0.000
```


(2)
Here is an optimized crystal structure of Sr2PdPtO6 from Alexandria. Energies are from GGA-PBE.

Computed properties:
symmetry: C2/m
formation energy without anion corrections: -13.77 eV per formula unit
ρ: 6.72 g/cm3

```
Sr2PdPtO6
1.0
-1.151 -2.986 -3.776
-2.011 -3.591 3.453
-3.340 5.221 -0.696
O Pd Sr Pt
6 1 2 1
direct
0.788 0.323 0.148
0.788 0.825 0.148
0.738 0.318 0.636
0.212 0.175 0.852
0.212 0.677 0.852
0.262 0.682 0.364
0.000 0.500 0.000
0.214 0.232 0.464
0.786 0.768 0.536
0.500 0.000 0.000
```


(3)
Here is an optimized crystal structure of Pa3Zn4Ni4 from Alexandria. Energies are from GGA-PBE.

Computed properties:
symmetry: Immm
formation energy: -0.300 eV/atom
ρ: 10.63 g/cm3

```
Pa3Zn4Ni4
1.0
-3.009 -2.121 0.829
4.199 -4.371 4.054
-1.816 7.094 2.972
Ni Zn Pa
4 4 3
direct
0.235 0.735 0.470
0.765 0.265 0.530
0.500 0.804 0.000
0.500 0.196 0.000
0.326 0.514 0.652
0.674 0.486 0.348
0.326 0.138 0.652
0.674 0.862 0.348
0.120 0.120 0.240
0.000 0.500 0.000
0.880 0.880 0.760
```


(4)
Here is an optimized crystal structure of Tc2NiBr from Alexandria. Energies are from GGA-PBE.

Computed properties:
symmetry: P2/m
formation energy without anion corrections: 2.98 eV per formula unit
energy above the lowest structure with this stoichiometry: 362 meV per atom
ρ: 7.51 g/cm3

```
Tc2NiBr
1.0
4.444 0.000 0.000
0.000 3.507 -0.032
0.000 -1.464 4.762
Br Tc Ni
1 2 1
direct
0.500 0.250 0.250
0.000 0.092 0.914
0.000 0.408 0.586
0.500 0.750 0.750
```


(5)
Here is an optimized crystal structure of Tm6OsPb from Alexandria. Energies are from GGA-PBE.

Computed properties:
symmetry: P-1
formation energy: -0.020 eV/atom
ρ: 9.09 g/cm3

```
Tm6OsPb
1.0
6.756 0.009 0.005
3.371 5.861 0.013
3.365 1.950 6.519
Tm Pb Os
6 1 1
direct
0.037 0.417 0.761
0.215 0.963 0.239
0.417 0.785 0.761
0.583 0.215 0.239
0.785 0.037 0.761
0.963 0.583 0.239
0.500 0.500 0.500
0.000 0.000 0.000
```


(6)
Here is an optimized crystal structure of PdPt5W from Alexandria. Energies are from GGA-PBE.

Computed properties:
symmetry: C2/c
formation energy: -0.012 eV/atom
ρ: 17.70 g/cm3

```
PdPt5W
1.0
5.377 0.204 -1.234
-1.877 6.450 -1.035
0.174 -0.242 6.790
Pt Pd W
10 2 2
direct
0.377 0.151 0.404
0.877 0.404 0.151
0.623 0.612 0.879
0.123 0.879 0.612
0.377 0.388 0.121
0.123 0.596 0.849
0.750 0.246 0.754
0.877 0.121 0.388
0.250 0.754 0.246
0.623 0.849 0.596
0.500 0.000 0.000
0.000 0.000 0.000
0.250 0.504 0.496
0.750 0.496 0.504
```


(7)
Here is an optimized crystal structure of V6Mo5Rh from Alexandria. Energies are from GGA-PBE.

Computed properties:
symmetry: Immm
formation energy: -0.203 eV/atom
ρ: 8.55 g/cm3

```
V6Mo5Rh
1.0
-3.560 2.411 -0.494
2.251 2.256 -5.217
-2.171 -7.186 -0.462
V Mo Rh
6 5 1
direct
0.168 0.916 0.336
0.168 0.420 0.336
0.500 0.255 0.000
0.832 0.084 0.664
0.500 0.745 0.000
0.832 0.580 0.664
0.667 0.667 0.335
0.336 0.836 0.672
0.664 0.164 0.328
0.000 0.500 0.000
0.333 0.333 0.665
0.000 0.000 0.000
```


(8)
Here is an optimized crystal structure of SrMg2SnH from Alexandria. Energies are from GGA-PBE.

Computed properties:
symmetry: P4/mmm
uncorrected energy: -13.5 eV per cell
ρ: 3.94 g/cm3

```
SrMg2SnH
1.0
4.750 0.000 0.000
0.000 4.750 0.000
0.000 0.000 4.783
Mg H Sn Sr
2 1 1 1
direct
0.500 0.000 0.000
0.000 0.500 0.000
0.000 0.000 0.000
0.500 0.500 0.500
0.000 0.000 0.500
```